BeCr2PtO6 GGA+U relaxed; raw total energy = -70.10 eV for the cell shown; total magnetization = 6.0 μB/f.u.
1.0
-1.6173 1.4860 -4.4685
3.0034 -0.2980 -3.9602
-1.1354 -3.9922 -3.6905
O Cr Pt Be
6 2 1 1
direct
0.5874 0.2355 0.2349
0.7343 0.1098 0.7300
0.1097 0.4259 0.7300
0.2356 0.9421 0.2349
0.4259 0.7344 0.7300
0.9422 0.5874 0.2349
0.0233 0.0233 0.9302
0.5098 0.5098 0.4707
0.8299 0.8300 0.5102
0.2636 0.2635 0.2093